Record 1
A plane-wave DFT calculation with PBE was carried out for CuHF3 after structural relaxation.

The structure in extended XYZ format:
```
5
Lattice="3.4259 0.0000 0.0000 0.0000 3.4259 0.0000 0.0000 0.0000 3.4259" Properties=species:S:1:pos:R:3 pbc="T T T"
H 0.0000 0.0000 0.0000
Cu 1.7130 1.7130 1.7130
F 0.0000 1.7130 0.0000
F 0.0000 0.0000 1.7130
F 1.7130 0.0000 0.0000
```

Summary:
space group = Pm-3m, No. 221
DOS(E_F) = 1.373 states/eV/atom
excess energy over the best structure of this formula in the dataset = 903 meV/atom
total energy = -0.1191 Ha/atom

=====

Record 2
A plane-wave DFT calculation with PBE was carried out for CuHF2 after structural relaxation.

The structure in extended XYZ format:
```
8
Lattice="-1.9656 1.2111 -3.7516 -2.6486 -3.5106 0.2544 -4.6652 0.7635 0.1046" Properties=species:S:1:pos:R:3 pbc="T T T"
H -2.3071 -1.1498 -1.7486
H -4.8104 -1.9484 -0.6948
Cu 0.0000 0.0000 0.0000
Cu -4.4689 0.4124 -2.6978
F -2.4987 0.3690 -1.8532
F -3.2945 -1.7119 -0.7174
F -5.5353 -0.6954 -1.2036
F -7.2302 -1.0338 -3.0110
```

Summary:
space group = I-42d, No. 122
DOS(E_F) = 0.649 states/eV/atom
excess energy over the best structure of this formula in the dataset = 361 meV/atom
total energy = -0.1328 Ha/atom

=====

Record 3
A plane-wave DFT calculation with PBE was carried out for CuHF2 after structural relaxation.

The structure in extended XYZ format:
```
4
Lattice="0.0000 2.5829 2.5829 2.5829 0.0000 2.5829 2.5829 2.5829 0.0000" Properties=species:S:1:pos:R:3 pbc="T T T"
H 0.0000 0.0000 0.0000
Cu 2.5829 2.5829 2.5829
F 1.2914 1.2914 1.2914
F 3.8743 3.8743 3.8743
```

Summary:
space group = Fm-3m, No. 225
DOS(E_F) = 0.751 states/eV/atom
excess energy over the best structure of this formula in the dataset = 794 meV/atom
total energy = -0.1170 Ha/atom

=====

Record 4
A plane-wave DFT calculation with PBE was carried out for CuHF3 after structural relaxation.

The structure in extended XYZ format:
```
20
Lattice="5.8267 0.0000 0.0000 0.0000 5.3392 -0.8765 0.0000 0.8544 6.9210" Properties=species:S:1:pos:R:3 pbc="T T T"
Cu 4.3330 1.0585 4.0259
Cu 1.4937 5.1350 2.0185
Cu 1.4196 5.5622 5.4790
Cu 4.4070 0.6313 0.5654
H 1.5822 2.5117 2.4521
H 4.2445 3.6818 3.5923
H 4.4955 3.2546 0.1318
H 1.3311 2.9389 5.9126
F 5.2158 0.7731 2.3138
F 0.6108 5.4205 3.7306
F 2.3025 4.9933 0.2701
F 3.5242 1.2003 5.7743
F 2.2113 1.5995 3.0036
F 3.6154 4.5941 3.0408
F 5.1246 4.1669 -0.4196
F 0.7021 2.0267 6.4641
F 4.8292 2.9258 4.0953
F 0.9975 3.2678 1.9491
F 1.9158 3.6950 5.4096
F 3.9108 2.4986 0.6348
```

Summary:
space group = P2_1/c, No. 14
excess energy over the best structure of this formula in the dataset = 0 meV/atom
total energy = -0.1523 Ha/atom

=====

Record 5
A plane-wave DFT calculation with PBE was carried out for Cu2HF6 after structural relaxation.

The structure in extended XYZ format:
```
18
Lattice="5.3997 -0.7476 -0.7238 0.5898 6.3005 0.2796 0.5898 0.4836 6.2882" Properties=species:S:1:pos:R:3 pbc="T T T"
Cu 1.6405 4.4431 5.3337
Cu 2.2390 0.9354 1.9379
Cu 4.9388 1.5934 0.5102
Cu 4.3404 5.1011 3.9060
H 1.9398 2.1758 4.1662
H 4.6396 3.8607 1.6778
F 2.7917 5.0432 2.9565
F 1.0878 3.2920 1.2612
F 3.7876 0.9933 2.8875
F 5.4916 2.7445 4.5828
F 5.2679 4.5442 2.3632
F 4.0114 3.1535 1.0169
F 1.3115 1.4923 3.4808
F 2.5680 2.8830 4.8271
F 5.9599 5.2080 4.8411
F 3.3194 0.6554 0.4337
F 0.6195 0.8285 1.0029
F 3.2600 5.3811 5.4103
```

Summary:
space group = C2/c, No. 15
DOS(E_F) = 0.488 states/eV/atom
excess energy over the best structure of this formula in the dataset = 0 meV/atom
total energy = -0.1446 Ha/atom

=====

Record 6
A plane-wave DFT calculation with PBE was carried out for CuHF3 after structural relaxation.

The structure in extended XYZ format:
```
20
Lattice="6.3342 0.0732 0.0707 2.1734 6.2759 0.6267 2.1734 0.8502 6.2495" Properties=species:S:1:pos:R:3 pbc="T T T"
Cu 6.9241 2.3742 4.7800
Cu 3.7569 1.4325 5.6827
Cu 6.9241 5.7668 1.2642
Cu 3.7569 4.8251 2.1668
H 6.2260 3.1816 2.2652
H 3.0589 2.3407 3.0635
H 7.6221 4.8586 3.8834
H 4.4550 4.0177 4.6816
F 3.1842 2.9766 2.1909
F 8.3214 6.9138 5.7644
F 6.3513 2.3323 2.9319
F 4.3297 4.8669 4.0150
F 7.8682 5.5732 2.9266
F 5.1543 5.9708 6.6684
F 7.4968 4.2227 4.7559
F 5.5267 1.2285 0.2784
F 2.3596 0.2855 1.1825
F 4.7011 3.0870 5.4299
F 2.8127 1.6261 4.0202
F 5.9799 4.1123 1.5169
```

Summary:
space group = C2/c, No. 15
excess energy over the best structure of this formula in the dataset = 18 meV/atom
total energy = -0.1516 Ha/atom

=====

Record 7
A plane-wave DFT calculation with PBE was carried out for Cu2HF after structural relaxation.

The structure in extended XYZ format:
```
8
Lattice="4.5041 0.0000 0.0000 0.0000 4.5041 0.0000 2.2521 2.2521 4.0401" Properties=species:S:1:pos:R:3 pbc="T T T"
H 2.2521 2.2521 0.0000
H 2.2521 4.5041 2.0201
Cu 2.9767 1.1260 1.0100
Cu 1.5275 3.3781 1.0100
Cu 3.3781 3.7795 3.0301
Cu 5.6302 5.2287 3.0301
F 0.0000 0.0000 0.0000
F 4.5041 2.2521 2.0201
```

Summary:
space group = I-42d, No. 122
DOS(E_F) = 0.000 states/eV/atom
excess energy over the best structure of this formula in the dataset = 0 meV/atom
total energy = -0.1412 Ha/atom

=====

Record 8
A plane-wave DFT calculation with PBE was carried out for CuH2F6 after structural relaxation.

The structure in extended XYZ format:
```
18
Lattice="-1.2568 -1.5141 5.3761 2.4958 -5.1015 -2.3611 5.4479 2.8003 0.5545" Properties=species:S:1:pos:R:3 pbc="T T T"
Cu 2.4457 -4.7731 -0.7562
Cu 4.2412 0.9578 4.3257
H 1.0234 -2.3748 0.1675
H 5.1612 -3.7103 -0.4028
H 5.6636 -1.4405 3.4021
H 1.5258 -0.1050 3.9723
F 2.9863 -1.2899 1.7083
F 4.5963 -1.0533 -0.5631
F 3.7007 -2.5254 1.8612
F 2.0907 -2.7620 4.1326
F 2.3007 0.2358 4.5501
F 5.3828 -0.4588 3.3122
F 4.3863 -4.0511 -0.9806
F 1.3042 -3.3565 0.2573
F 0.5704 -1.1159 0.0780
F 6.2331 -3.3126 0.2978
F 6.1166 -2.6994 3.4915
F 0.4539 -0.5027 3.2717
```

Summary:
space group = C2/c, No. 15
DOS(E_F) = 0.264 states/eV/atom
excess energy over the best structure of this formula in the dataset = 47 meV/atom
total energy = -0.1331 Ha/atom

=====

Record 9
A plane-wave DFT calculation with PBE was carried out for CuHF3 after structural relaxation.

The structure in extended XYZ format:
```
5
Lattice="3.8410 0.0000 0.0000 0.0000 3.8410 0.0000 0.0000 0.0000 3.8410" Properties=species:S:1:pos:R:3 pbc="T T T"
H 1.9205 1.9205 1.9205
Cu 0.0000 0.0000 0.0000
F 0.0000 1.9205 0.0000
F 0.0000 0.0000 1.9205
F 1.9205 0.0000 0.0000
```

Summary:
space group = Pm-3m, No. 221
DOS(E_F) = 0.906 states/eV/atom
excess energy over the best structure of this formula in the dataset = 864 meV/atom
total energy = -0.1205 Ha/atom

=====

Record 10
A plane-wave DFT calculation with PBE was carried out for CuH2F4 after structural relaxation.

The structure in extended XYZ format:
```
14
Lattice="-1.4751 -0.4042 -3.4730 0.7800 -3.7020 0.2957 -9.2987 -1.6287 4.1391" Properties=species:S:1:pos:R:3 pbc="T T T"
Cu -2.6722 -2.4603 -0.5539
Cu -7.3216 -3.2746 1.5157
H 0.4061 -3.7413 -0.5599
H -1.1011 -0.3649 -2.6174
H -4.0842 -3.6159 2.2367
H -5.9096 -2.1189 -1.2749
F -0.5036 -3.1343 -2.3646
F -0.1915 -0.9719 -0.8127
F -4.7976 -1.8495 1.3292
F -5.1962 -3.8854 -0.3674
F -2.9937 -0.5973 -0.7322
F -2.0031 -2.2702 1.2131
F -7.7801 -1.4356 1.3983
F -6.5155 -3.0605 3.2217
```

Summary:
space group = Cccm, No. 66
DOS(E_F) = 0.182 states/eV/atom
total energy = -0.1479 Ha/atom

=====

Record 11
A plane-wave DFT calculation with PBE was carried out for CuHF2 after structural relaxation.

The structure in extended XYZ format:
```
4
Lattice="0.6369 4.7957 2.5361 0.2575 2.6977 4.7425 2.9981 3.0403 3.4063" Properties=species:S:1:pos:R:3 pbc="T T T"
H 0.0000 0.0000 0.0000
Cu 1.9463 5.2669 5.3425
F 3.6039 9.7527 9.8928
F 0.2886 0.7810 0.7922
```

Summary:
space group = R-3m, No. 166
DOS(E_F) = 2.400 states/eV/atom
excess energy over the best structure of this formula in the dataset = 0 meV/atom
total energy = -0.1461 Ha/atom

=====

Record 12
A plane-wave DFT calculation with PBE was carried out for Cu2H3F6 after structural relaxation.

The structure in extended XYZ format:
```
22
Lattice="5.4800 0.0000 1.5287 2.6024 5.1235 1.2575 0.2869 -0.3318 9.5580" Properties=species:S:1:pos:R:3 pbc="T T T"
Cu 4.2671 3.9844 11.0820
Cu 5.6078 1.5885 6.4512
Cu 4.1021 0.8074 1.2622
Cu 2.7615 3.2032 5.8930
H 3.0834 4.4656 8.3939
H 3.4639 1.0320 8.2077
H 5.8372 2.7220 9.1089
H 2.5320 2.0698 3.2353
H 5.2858 0.3261 3.9503
H 4.9053 3.7597 4.1365
F 2.9140 4.3679 9.6157
F 3.1836 0.5414 9.2056
F 5.3988 2.5808 10.0799
F 2.0445 1.9720 4.3684
F 5.1583 0.1849 5.0080
F 4.6286 3.2690 5.1355
F 5.4552 0.4238 2.7284
F 5.1857 4.2504 3.1386
F 2.9704 2.2110 2.2643
F 6.3247 2.8197 7.9758
F 3.2110 4.6068 7.3362
F 3.7406 1.5227 7.2087
```

Summary:
space group = C2/c, No. 15
DOS(E_F) = 0.320 states/eV/atom
total energy = -0.1530 Ha/atom

=====

Record 13
A plane-wave DFT calculation with PBE was carried out for CuHF2 after structural relaxation.

The structure in extended XYZ format:
```
4
Lattice="-5.4279 -1.7521 -1.1025 -4.3430 -3.8572 0.0937 -5.2867 -1.8468 1.5452" Properties=species:S:1:pos:R:3 pbc="T T T"
H -7.5288 -3.7280 0.2682
Cu 0.0000 0.0000 0.0000
F -13.3932 -6.6318 0.4771
F -1.6644 -0.8242 0.0593
```

Summary:
space group = R-3m, No. 166
DOS(E_F) = 0.000 states/eV/atom
excess energy over the best structure of this formula in the dataset = 516 meV/atom
total energy = -0.1272 Ha/atom

=====

Record 14
A plane-wave DFT calculation with PBE was carried out for Cu2HF6 after structural relaxation.

The structure in extended XYZ format:
```
18
Lattice="-0.5477 4.3915 4.0735 2.5713 -2.2909 4.0979 6.8783 2.4885 -1.2165" Properties=species:S:1:pos:R:3 pbc="T T T"
Cu 7.0382 1.2595 3.1285
Cu 3.4760 0.9580 1.6480
Cu 1.8636 3.3295 3.8265
Cu 5.4258 3.6310 5.3070
H 5.9128 2.4543 1.0474
H 2.9891 2.1348 5.9075
F 6.0631 2.7758 3.7845
F 3.7424 4.1689 4.3500
F 2.8388 1.8133 3.1704
F 5.1595 0.4201 2.6049
F 4.3831 1.9691 6.2146
F 2.0730 2.4911 5.6845
F 4.5187 2.6199 0.7403
F 6.8288 2.0979 1.2704
F 8.7348 1.8762 3.3586
F 1.9137 0.6143 0.6594
F 0.1670 2.7129 3.5963
F 6.9881 3.9747 6.2955
```

Summary:
space group = P-1, No. 2
DOS(E_F) = 0.209 states/eV/atom
excess energy over the best structure of this formula in the dataset = 38 meV/atom
total energy = -0.1432 Ha/atom

=====

Record 15
A plane-wave DFT calculation with PBE was carried out for CuH2F6 after structural relaxation.

The structure in extended XYZ format:
```
18
Lattice="4.9012 -0.3805 -0.3683 1.0173 6.4473 0.3192 1.0173 0.5279 6.4335" Properties=species:S:1:pos:R:3 pbc="T T T"
Cu 2.2426 0.9916 5.7642
Cu 4.6932 5.6031 0.6202
H 2.1486 4.4585 4.1432
H 2.3366 2.4995 2.2467
H 4.7872 2.1362 2.2412
H 4.5991 4.0952 4.1377
F 3.0401 4.6592 3.8324
F 1.4451 2.8036 2.0360
F 3.8957 1.9355 2.5520
F 5.4906 3.7912 4.3484
F 5.4662 5.4370 2.1943
F 3.9202 4.0352 0.8372
F 1.4696 1.1578 4.1901
F 3.0156 2.5596 5.5472
F 2.3759 5.8273 6.3890
F 2.1093 0.2105 0.9513
F 4.5599 0.7674 -0.0046
F 4.8264 6.3842 5.4331
```

Summary:
space group = C2/c, No. 15
DOS(E_F) = 0.101 states/eV/atom
excess energy over the best structure of this formula in the dataset = 0 meV/atom
total energy = -0.1348 Ha/atom

=====

Record 16
A plane-wave DFT calculation with PBE was carried out for Cu2HF after structural relaxation.

The structure in extended XYZ format:
```
4
Lattice="0.0000 2.6818 2.6818 2.6818 0.0000 2.6818 2.6818 2.6818 0.0000" Properties=species:S:1:pos:R:3 pbc="T T T"
H 0.0000 0.0000 0.0000
Cu 1.3409 1.3409 1.3409
Cu 4.0227 4.0227 4.0227
F 2.6818 2.6818 2.6818
```

Summary:
space group = Fm-3m, No. 225
DOS(E_F) = 0.074 states/eV/atom
excess energy over the best structure of this formula in the dataset = 496 meV/atom
total energy = -0.1230 Ha/atom

=====

Record 17
A plane-wave DFT calculation with PBE was carried out for CuHgH2F6 after structural relaxation.

The structure in extended XYZ format:
```
20
Lattice="5.6740 0.0000 -0.1674 0.0000 6.0122 0.0000 -0.4332 0.0000 7.5765" Properties=species:S:1:pos:R:3 pbc="T T T"
Cu -0.2166 3.0061 3.7882
Cu 2.8370 0.0000 -0.0837
Hg 0.0000 3.0061 0.0000
Hg 2.6204 0.0000 3.7045
H 4.6229 0.8833 1.7441
H 3.6715 3.8894 1.7930
H 1.5693 2.1228 5.6160
H 0.6179 5.1289 5.6650
F 4.6582 2.6867 5.3389
F 4.5043 0.8624 0.4984
F 4.6918 0.9382 2.8075
F 3.6026 3.9443 0.7296
F 3.7902 3.8685 3.0387
F 3.2030 5.6928 5.7746
F 2.0378 0.3194 1.6344
F 1.4507 2.1437 4.3703
F 1.6382 2.0679 6.6794
F 0.7365 5.1498 6.9107
F 0.5490 5.0740 4.6016
F 0.5826 3.3255 2.0701
```

Summary:
space group = P2_1/c, No. 14
total energy = -0.1374 Ha/atom

=====

Record 18
A plane-wave DFT calculation with PBE was carried out for KCuHF6 after structural relaxation.

The structure in extended XYZ format:
```
9
Lattice="-1.0891 4.2663 -2.7808 -4.9057 2.8062 0.0309 2.1802 2.8403 3.8105" Properties=species:S:1:pos:R:3 pbc="T T T"
K -2.5081 6.4763 3.0885
Cu -1.1166 3.7001 1.1400
H -1.6643 5.8373 -0.2429
F -2.2711 6.0001 -1.2141
F 0.6619 3.5299 1.0055
F -1.0551 5.6726 0.7214
F -0.9552 4.0685 2.8959
F -2.8952 3.8757 1.2745
F -1.2752 3.3299 -0.6155
```

Summary:
space group = P1, No. 1
DOS(E_F) = 0.014 states/eV/atom
total energy = -0.1409 Ha/atom

=====

Record 19
A plane-wave DFT calculation with PBE was carried out for KCuH2F8 after structural relaxation.

The structure in extended XYZ format:
```
12
Lattice="4.7607 1.0224 0.4069 0.9867 4.7645 0.3546 0.5981 0.5883 7.4627" Properties=species:S:1:pos:R:3 pbc="T T T"
K 0.2991 0.2941 3.7314
Cu 0.0000 0.0000 0.0000
H 2.1098 2.1070 5.7086
H 4.2357 4.2682 2.5156
F 1.9727 3.9787 1.6379
F 4.4795 4.5233 1.0181
F 3.9823 2.0090 1.6939
F 4.3728 2.3965 6.5863
F 1.8660 1.8519 7.2061
F 2.3632 4.3662 6.5303
F 4.1344 4.1710 3.4827
F 2.2111 2.2042 4.7415
```

Summary:
space group = P-1, No. 2
total energy = -0.1362 Ha/atom

=====

Record 20
A plane-wave DFT calculation with PBE was carried out for K2CuHF6 after structural relaxation.

The structure in extended XYZ format:
```
20
Lattice="5.3884 0.0000 0.0000 2.6942 4.6665 0.0000 2.6942 1.5555 10.4752" Properties=species:S:1:pos:R:3 pbc="T T T"
K 8.0826 4.6665 3.9804
K 2.6942 1.5555 6.4948
K 8.0826 4.6665 8.5614
K 2.6942 1.5555 1.9138
Cu 0.0000 0.0000 0.0000
Cu 5.3884 3.1110 5.2376
H 5.3884 3.1110 1.0731
H 5.3884 3.1110 9.4022
F 6.7108 2.3475 4.1441
F 5.3884 4.6380 4.1441
F 4.0660 2.3475 4.1441
F 4.0660 3.8745 6.3311
F 5.3884 1.5840 6.3311
F 6.7108 3.8745 6.3311
F 6.6029 2.4098 9.3662
F 5.3884 4.5134 9.3662
F 4.1739 2.4098 9.3662
F 4.1739 3.8122 1.1090
F 5.3884 1.7086 1.1090
F 6.6029 3.8122 1.1090
```

Summary:
space group = R-3m, No. 166
DOS(E_F) = 0.320 states/eV/atom
total energy = -0.1476 Ha/atom